Entry from the Alexandria database: a relaxed structure of FeSbP2O (PBE with a Hubbard U).

For the density of states at the Fermi level, the calculation gives 3.25 states/eV/f.u. As for the space-group type: P4/mmm, No. 123. As for the total energy: -4.434 eV per atom.

a = 5.104 Å, b = 5.104 Å, c = 3.881 Å
α = 90.00°, β = 90.00°, γ = 90.00°
Sites, in units of the cell vectors:
Fe 0.000 0.000 0.000
Sb 0.500 0.500 0.500
P 0.000 0.500 0.500
P 0.500 0.000 0.500
O 0.500 0.500 0.000